VASP calculation (PBE) on crystalline Y2Ho3ErTe6 at its relaxed geometry.

Total energy = -5.434 eV/atom
ΔE_f (raw) = -1.26 eV per atom
Symmetry = C2/m, No. 12

Cell lengths 4.3241, 8.7288, 9.7020 Å; angles 102.78, 102.88, 90.00 degrees
Fractional coordinates of all 12 atoms:
Y 0.8319 0.6661 0.6639
Y 0.1681 0.3339 0.3361
Ho 0.5000 0.5000 0.0000
Ho 0.8312 0.1675 0.6625
Ho 0.1688 0.8325 0.3375
Er 0.5000 0.0000 0.0000
Te 0.3347 0.9201 0.6695
Te 0.6654 0.5836 0.3308
Te 0.6653 0.0799 0.3305
Te 0.9991 0.2484 0.9981
Te 0.0009 0.7516 0.0019
Te 0.3346 0.4164 0.6692

VASP calculation (PBE) on crystalline HfSiIr2 at its relaxed geometry.

Total energy = -8.358 eV/atom
ΔE_f (raw) = -0.08 eV per atom
Symmetry = I-42d, No. 122

Cell lengths 5.7381, 5.7381, 6.7688 Å; angles 64.92, 64.92, 90.00 degrees
Fractional coordinates of all 8 atoms:
Si 0.5000 0.5000 0.0000
Si 0.2500 0.7500 0.5000
Ir 0.5823 0.1250 0.2500
Ir 0.1677 0.6250 0.2500
Ir 0.3750 0.4177 0.7500
Ir 0.8750 0.8323 0.7500
Hf 0.0000 0.0000 0.0000
Hf 0.7500 0.2500 0.5000

VASP calculation (PBE) on crystalline Tm3Zn2Pd6 at its relaxed geometry.

Total energy = -5.012 eV/atom
ΔE to the lowest computed polymorph = 54 meV per atom
Symmetry = I4/mmm, No. 139

Cell lengths 4.1153, 4.1153, 12.4628 Å; angles 99.50, 99.50, 90.00 degrees
Fractional coordinates of all 11 atoms:
Tm 0.0000 0.0000 0.0000
Tm 0.8025 0.8025 0.6050
Tm 0.1975 0.1975 0.3950
Zn 0.4510 0.4510 0.9019
Zn 0.5490 0.5490 0.0981
Pd 0.1086 0.6086 0.2173
Pd 0.6086 0.1086 0.2173
Pd 0.8914 0.3914 0.7827
Pd 0.3914 0.8914 0.7827
Pd 0.6872 0.6872 0.3745
Pd 0.3128 0.3128 0.6255

VASP calculation (PBE) on crystalline Cs2Li2PbCl7 at its relaxed geometry.

Total energy = -3.293 eV/atom
ΔE_f (raw) = -1.45 eV per atom
Symmetry = C2/m, No. 12

Cell lengths 5.0545, 5.0545, 13.9180 Å; angles 77.38, 77.38, 89.61 degrees
Site moments in Bohr magnetons follow the coordinates.
Fractional coordinates of all 12 atoms:
Cs 0.8319 0.8319 0.3594  0.00
Cs 0.1681 0.1681 0.6406  0.00
Li 0.5745 0.5745 0.8079  0.00
Li 0.4255 0.4255 0.1921  0.00
Pb 0.0000 0.0000 0.0000  0.00
Cl 0.5000 0.5000 0.0000  0.39
Cl 0.3250 0.3250 0.3733  0.03
Cl 0.6750 0.6750 0.6267  0.03
Cl 0.9490 0.4534 0.1519  0.11
Cl 0.4534 0.9490 0.1519  0.11
Cl 0.5466 0.0510 0.8481  0.11
Cl 0.0510 0.5466 0.8481  0.11

VASP calculation (PBE) on crystalline CsTi3Ru at its relaxed geometry.

Total energy = -6.031 eV/atom
ΔE to the lowest computed polymorph = 0 meV per atom
Symmetry = Pm-3m, No. 221

Cell lengths 4.9352, 4.9352, 4.9352 Å; angles 90.00, 90.00, 90.00 degrees
Fractional coordinates of all 5 atoms:
Cs 0.5000 0.5000 0.5000
Ru 0.0000 0.0000 0.0000
Ti 0.0000 0.5000 0.0000
Ti 0.0000 0.0000 0.5000
Ti 0.5000 0.0000 0.0000

VASP calculation (PBE) on crystalline Sm3Er3Co4 at its relaxed geometry.

Total energy = -5.738 eV/atom
Symmetry = Amm2, No. 38

Cell lengths 4.1735, 7.2479, 7.2479 Å; angles 90.53, 90.00, 90.00 degrees
Fractional coordinates of all 10 atoms:
Sm 0.0000 0.5001 0.9982
Sm 0.0000 0.0018 0.4999
Sm 0.5000 0.1671 0.8329
Er 0.5000 0.8255 0.1745
Er 0.5000 0.3310 0.3294
Er 0.5000 0.6706 0.6690
Co 0.0000 0.6186 0.3814
Co 0.0000 0.4005 0.5995
Co 0.0000 0.8816 0.8969
Co 0.0000 0.1031 0.1184

VASP calculation (PBE) on crystalline Rb2In2Si at its relaxed geometry.

Total energy = -2.415 eV/atom
ΔE_f (raw) = 0.15 eV per atom
Symmetry = P4/mbm, No. 127

Cell lengths 7.4147, 7.4147, 6.2630 Å; angles 90.00, 90.00, 90.00 degrees
Fractional coordinates of all 10 atoms:
Si 0.0000 0.0000 0.0000
Si 0.5000 0.5000 0.0000
Rb 0.1842 0.6842 0.5000
Rb 0.6842 0.8158 0.5000
Rb 0.8158 0.3158 0.5000
Rb 0.3158 0.1842 0.5000
In 0.3600 0.8600 0.0000
In 0.8600 0.6400 0.0000
In 0.6400 0.1400 0.0000
In 0.1400 0.3600 0.0000

VASP calculation (PBE) on crystalline PmNdY2As4 at its relaxed geometry.

Total energy = -6.666 eV/atom
Symmetry = P2/m, No. 10

Cell lengths 4.1934, 7.2527, 7.2592 Å; angles 70.52, 90.00, 90.00 degrees
Fractional coordinates of all 8 atoms:
Pm 0.0000 0.5000 0.5000
Nd 0.5000 0.5000 0.0000
Y 0.0000 0.0000 0.0000
Y 0.5000 0.0000 0.5000
As 0.0000 0.7579 0.7464
As 0.0000 0.2421 0.2536
As 0.5000 0.7574 0.2485
As 0.5000 0.2426 0.7515

VASP calculation (PBE) on crystalline Sm2TmSi3Pt12 at its relaxed geometry.

Total energy = -6.272 eV/atom
ΔE_f (raw) = -0.57 eV per atom
Symmetry = R-3m, No. 166

Cell lengths 7.6600, 7.6600, 7.6600 Å; angles 65.90, 65.90, 65.90 degrees
Fractional coordinates of all 18 atoms:
Sm 0.5987 0.5987 0.5987
Sm 0.4013 0.4013 0.4013
Tm 0.0000 0.0000 0.0000
Si 0.5000 0.0000 0.0000
Si 0.0000 0.5000 0.0000
Si 0.0000 0.0000 0.5000
Pt 0.3510 0.3510 0.8991
Pt 0.8543 0.8543 0.3975
Pt 0.3975 0.8543 0.8543
Pt 0.8991 0.3510 0.3510
Pt 0.8543 0.3975 0.8543
Pt 0.3510 0.8991 0.3510
Pt 0.6490 0.6490 0.1009
Pt 0.1457 0.1457 0.6025
Pt 0.6025 0.1457 0.1457
Pt 0.1009 0.6490 0.6490
Pt 0.1457 0.6025 0.1457
Pt 0.6490 0.1009 0.6490

VASP calculation (PBE) on crystalline Sr3Ac3TlIn2 at its relaxed geometry.

Total energy = -3.047 eV/atom
Symmetry = P-62m, No. 189

Cell lengths 4.2308, 9.7286, 9.7286 Å; angles 120.00, 90.00, 90.00 degrees
Fractional coordinates of all 9 atoms:
Sr 0.5000 0.7222 0.0000
Sr 0.5000 0.0000 0.7222
Sr 0.5000 0.2778 0.2778
Ac 0.0000 0.6140 0.6140
Ac 0.0000 0.0000 0.3860
Ac 0.0000 0.3860 0.0000
Tl 0.0000 0.0000 0.0000
In 0.5000 0.6667 0.3333
In 0.5000 0.3333 0.6667

VASP calculation (PBE) on crystalline CaCrW2 at its relaxed geometry.

Total energy = -8.171 eV/atom
ΔE to the lowest computed polymorph = 584 meV per atom
Symmetry = P4/mmm, No. 123

Cell lengths 4.7284, 4.7284, 2.9784 Å; angles 90.00, 90.00, 90.00 degrees
Fractional coordinates of all 4 atoms:
Cr 0.0000 0.5000 0.5000
Ca 0.5000 0.0000 0.5000
W 0.0000 0.0000 0.0000
W 0.5000 0.5000 0.0000

VASP calculation (PBE) on crystalline Ni6OsPt at its relaxed geometry.

Total energy = -6.443 eV/atom
ΔE to the lowest computed polymorph = 20 meV per atom
Symmetry = Cmmm, No. 65

Cell lengths 6.2760, 6.2760, 10.2881 Å; angles 90.00, 90.00, 109.53 degrees
Site moments in Bohr magnetons follow the coordinates.
Fractional coordinates of all 32 atoms:
Ni 0.2462 0.7538 0.4940  0.08
Ni 0.8784 0.6309 0.6224  0.20
Ni 0.1216 0.3691 0.6224  0.20
Ni 0.7538 0.2462 0.4940  0.08
Ni 0.3691 0.1216 0.6224  0.20
Ni 0.6309 0.8784 0.6224  0.20
Ni 0.5000 0.5000 0.2500  0.02
Ni 0.1189 0.3719 0.3723  0.03
Ni 0.3719 0.1189 0.3723  0.03
Ni 0.2462 0.7538 0.0060  0.08
Ni 0.8811 0.6281 0.1277  0.03
Ni 0.1189 0.3719 0.1277  0.03
Ni 0.7538 0.2462 0.0060  0.08
Ni 0.3719 0.1189 0.1277  0.03
Ni 0.6281 0.8811 0.1277  0.03
Ni 0.5000 0.5000 0.7500  0.34
Ni 0.1216 0.3691 0.8776  0.20
Ni 0.3691 0.1216 0.8776  0.20
Ni 0.0000 0.0000 0.2500  0.04
Ni 0.6281 0.8811 0.3723  0.03
Ni 0.8811 0.6281 0.3723  0.03
Ni 0.0000 0.0000 0.7500  0.10
Ni 0.6309 0.8784 0.8776  0.20
Ni 0.8784 0.6309 0.8776  0.20
Os 0.2509 0.7491 0.2500  0.07
Os 0.7491 0.2509 0.2500  0.07
Os 0.0000 0.0000 0.5040  0.13
Os 0.0000 0.0000 0.9960  0.13
Pt 0.2531 0.7469 0.7500  0.09
Pt 0.7469 0.2531 0.7500  0.09
Pt 0.5000 0.5000 0.4997  0.06
Pt 0.5000 0.5000 0.0003  0.06

What did we get for Fermi-level density of states? Answer: 0.544 0.268 0.424 0.391 1.299 0.626 0.738 0.110 0.555 0.767 1.280 1.791 states/eV/atom, in the order shown.